DFT (PBE) results for a relaxed structure of YZr2Al6.

Cell and atoms, written as CIF:
```
data_YZr2Al6
_cell_length_a 7.7616
_cell_length_b 7.7616
_cell_length_c 3.2773
_cell_angle_alpha 90.00
_cell_angle_beta 90.00
_cell_angle_gamma 120.00
_space_group_name_H-M_alt 'P 6/m m m'
_space_group_IT_number 191
_space_group_name_Hall '-P 6 2'
loop_
_atom_site_label
_atom_site_type_symbol
_atom_site_fract_x
_atom_site_fract_y
_atom_site_fract_z
Y1 Y 0.0000 0.0000 0.0000
Zr1 Zr 0.3333 0.6667 0.0000
Al1 Al 0.0000 0.3364 0.5000
```

Output
The value obtained for the magnetization is 0.0 μB per cell. For the total DFT energy (no corrections), the calculation gives -5.5580 eV/atom. As for the density: 4.21 g/cm³. For the formation enthalpy at 0 K, the calculation gives -0.445 eV per atom.



DFT (PBE) results for a relaxed structure of YZrAl.

Cell and atoms, written as CIF:
```
data_YZrAl
_cell_length_a 4.9192
_cell_length_b 4.9192
_cell_length_c 3.4349
_cell_angle_alpha 90.00
_cell_angle_beta 90.00
_cell_angle_gamma 120.00
_space_group_name_H-M_alt 'P 3 m 1'
_space_group_IT_number 156
loop_
_space_group_symop_operation_xyz
'x,y,z'
'-y,x-y,z'
'-x+y,-x,z'
'-y,-x,z'
'-x+y,y,z'
'x,x-y,z'
loop_
_atom_site_label
_atom_site_type_symbol
_atom_site_fract_x
_atom_site_fract_y
_atom_site_fract_z
Y1 Y 0.0000 0.0000 0.0000
Zr1 Zr 0.6667 0.3333 0.4579
Al1 Al 0.3333 0.6667 0.6188
```

Output
The value obtained for the magnetization is 0.0 μB per cell. For the total DFT energy (no corrections), the calculation gives -6.3327 eV/atom. As for the density: 4.78 g/cm³. For the formation enthalpy at 0 K, the calculation gives -0.081 eV per atom.



DFT (PBE) results for a relaxed structure of Y3ZrAl8.

Cell and atoms, written as CIF:
```
data_Y3ZrAl8
_cell_length_a 5.5016
_cell_length_b 5.5016
_cell_length_c 27.0113
_cell_angle_alpha 90.00
_cell_angle_beta 90.00
_cell_angle_gamma 120.00
_space_group_name_H-M_alt 'R 3 m'
_space_group_IT_number 160
_space_group_name_Hall 'R 3 -2"'
loop_
_atom_site_label
_atom_site_type_symbol
_atom_site_fract_x
_atom_site_fract_y
_atom_site_fract_z
Y1 Y 0.0000 0.0000 0.0000
Y2 Y 0.0000 0.0000 0.1256
Y3 Y 0.0000 0.0000 0.5014
Zr1 Zr 0.0000 0.0000 0.6257
Al1 Al 0.0000 0.0000 0.3129
Al2 Al 0.0000 0.0000 0.8132
Al3 Al 0.0006 0.5003 0.5647
Al4 Al 0.1674 0.3348 0.3948
```

Output
The value obtained for the magnetization is 0.0 μB per cell. For the total DFT energy (no corrections), the calculation gives -5.3442 eV/atom. As for the density: 4.04 g/cm³. For the formation enthalpy at 0 K, the calculation gives -0.521 eV per atom.



DFT (PBE) results for a relaxed structure of YZr2Al.

Cell and atoms, written as CIF:
```
data_YZr2Al
_cell_length_a 3.238
_cell_length_b 3.998
_cell_length_c 7.135
_cell_angle_alpha 90.00
_cell_angle_beta 90.00
_cell_angle_gamma 90.00
_space_group_name_H-M_alt 'P m m m'
_space_group_IT_number 47
loop_
_space_group_symop_operation_xyz
'x,y,z'
'-x,-y,-z'
'-x,-y,z'
'x,y,-z'
'x,-y,-z'
'-x,y,z'
'-x,y,-z'
'x,-y,z'
loop_
_atom_site_label
_atom_site_type_symbol
_atom_site_fract_x
_atom_site_fract_y
_atom_site_fract_z
Y1 Y 0.000 0.000 0.000
Zr1 Zr 0.500 0.500 0.290
Al1 Al 0.000 0.000 0.500
```

Output
The value obtained for the magnetization is 0.0 μB per cell. For the total DFT energy (no corrections), the calculation gives -6.9221 eV/atom. As for the density: 5.36 g/cm³. For the formation enthalpy at 0 K, the calculation gives -0.096 eV per atom.



DFT (PBE) results for a relaxed structure of YZr2Al.

Cell and atoms, written as CIF:
```
data_YZr2Al
_cell_length_a 5.193
_cell_length_b 5.193
_cell_length_c 3.392
_cell_angle_alpha 90.00
_cell_angle_beta 90.00
_cell_angle_gamma 90.00
_space_group_name_H-M_alt 'P 4/m m m'
_space_group_IT_number 123
_space_group_name_Hall '-P 4 2'
loop_
_atom_site_label
_atom_site_type_symbol
_atom_site_fract_x
_atom_site_fract_y
_atom_site_fract_z
Y1 Y 0.000 0.000 0.000
Zr1 Zr 0.000 0.500 0.500
Al1 Al 0.500 0.500 0.000
```

Output
The value obtained for the magnetization is 0.0 μB per cell. For the total DFT energy (no corrections), the calculation gives -6.8120 eV/atom. As for the density: 5.41 g/cm³. For the formation enthalpy at 0 K, the calculation gives 0.014 eV per atom.



DFT (PBE) results for a relaxed structure of Y4ZrAl5.

Cell and atoms, written as CIF:
```
data_Y4ZrAl5
_cell_length_a 3.608
_cell_length_b 3.608
_cell_length_c 17.385
_cell_angle_alpha 90.00
_cell_angle_beta 90.00
_cell_angle_gamma 90.00
_space_group_name_H-M_alt 'P 4/m m m'
_space_group_IT_number 123
_space_group_name_Hall '-P 4 2'
loop_
_atom_site_label
_atom_site_type_symbol
_atom_site_fract_x
_atom_site_fract_y
_atom_site_fract_z
Y1 Y 0.000 0.000 0.104
Y2 Y 0.000 0.000 0.310
Zr1 Zr 0.000 0.000 0.500
Al1 Al 0.500 0.500 0.000
Al2 Al 0.500 0.500 0.207
Al3 Al 0.500 0.500 0.418
```

Output
The value obtained for the magnetization is 0.4 μB per cell. For the total DFT energy (no corrections), the calculation gives -5.7060 eV/atom. As for the density: 4.27 g/cm³. For the formation enthalpy at 0 K, the calculation gives -0.394 eV per atom.



DFT (PBE) results for a relaxed structure of YZr2Al.

Cell and atoms, written as CIF:
```
data_YZr2Al
_cell_length_a 4.837
_cell_length_b 3.344
_cell_length_c 11.809
_cell_angle_alpha 90.00
_cell_angle_beta 90.00
_cell_angle_gamma 90.00
_space_group_name_H-M_alt 'A m m 2'
_space_group_IT_number 38
loop_
_space_group_symop_operation_xyz
'x,y,z'
'-x,-y,z'
'-x,y,z'
'x,-y,z'
'x,y+1/2,z+1/2'
'-x,-y+1/2,z+1/2'
'-x,y+1/2,z+1/2'
'x,-y+1/2,z+1/2'
loop_
_atom_site_label
_atom_site_type_symbol
_atom_site_fract_x
_atom_site_fract_y
_atom_site_fract_z
Y1 Y 0.000 0.000 0.000
Zr1 Zr 0.000 0.000 0.264
Zr2 Zr 0.500 0.000 0.677
Al1 Al 0.500 0.000 0.401
```

Output
The value obtained for the magnetization is 0.0 μB per cell. For the total DFT energy (no corrections), the calculation gives -6.9382 eV/atom. As for the density: 5.19 g/cm³. For the formation enthalpy at 0 K, the calculation gives -0.112 eV per atom.



DFT (PBE) results for a relaxed structure of YZr2Al.

Cell and atoms, written as CIF:
```
data_YZr2Al
_cell_length_a 6.412
_cell_length_b 9.165
_cell_length_c 3.142
_cell_angle_alpha 90.00
_cell_angle_beta 90.00
_cell_angle_gamma 90.00
_space_group_name_H-M_alt 'C m m m'
_space_group_IT_number 65
_space_group_name_Hall '-C 2 2'
loop_
_atom_site_label
_atom_site_type_symbol
_atom_site_fract_x
_atom_site_fract_y
_atom_site_fract_z
Y1 Y 0.000 0.000 0.000
Zr1 Zr 0.250 0.250 0.500
Al1 Al 0.000 0.500 0.000
```

Output
The value obtained for the magnetization is 0.0 μB per cell. For the total DFT energy (no corrections), the calculation gives -6.8387 eV/atom. As for the density: 5.37 g/cm³. For the formation enthalpy at 0 K, the calculation gives -0.013 eV per atom.



DFT (PBE) results for a relaxed structure of YZr2Al.

Cell and atoms, written as CIF:
```
data_YZr2Al
_cell_length_a 3.224
_cell_length_b 5.146
_cell_length_c 5.772
_cell_angle_alpha 90.00
_cell_angle_beta 99.93
_cell_angle_gamma 90.00
_space_group_name_H-M_alt 'P 1 2/m 1'
_space_group_IT_number 10
loop_
_space_group_symop_operation_xyz
'x,y,z'
'-x,-y,-z'
'-x,y,-z'
'x,-y,z'
loop_
_atom_site_label
_atom_site_type_symbol
_atom_site_fract_x
_atom_site_fract_y
_atom_site_fract_z
Y1 Y 0.000 0.000 0.000
Zr1 Zr 0.324 0.500 0.727
Al1 Al 0.500 0.000 0.500
```

Output
The value obtained for the magnetization is 0.0 μB per cell. For the total DFT energy (no corrections), the calculation gives -6.8886 eV/atom. As for the density: 5.25 g/cm³. For the formation enthalpy at 0 K, the calculation gives -0.063 eV per atom.



DFT (PBE) results for a relaxed structure of YZr2Al.

Cell and atoms, written as CIF:
```
data_YZr2Al
_cell_length_a 3.3112
_cell_length_b 3.3112
_cell_length_c 30.3288
_cell_angle_alpha 90.00
_cell_angle_beta 90.00
_cell_angle_gamma 120.00
_space_group_name_H-M_alt 'R 3 m'
_space_group_IT_number 160
_space_group_name_Hall 'R 3 -2"'
loop_
_atom_site_label
_atom_site_type_symbol
_atom_site_fract_x
_atom_site_fract_y
_atom_site_fract_z
Y1 Y 0.0000 0.0000 0.0000
Zr1 Zr 0.0000 0.0000 0.5069
Zr2 Zr 0.0000 0.0000 0.7590
Al1 Al 0.0000 0.0000 0.2500
```

Output
The value obtained for the magnetization is 0.0 μB per cell. For the total DFT energy (no corrections), the calculation gives -6.8506 eV/atom. As for the density: 5.16 g/cm³. For the formation enthalpy at 0 K, the calculation gives -0.025 eV per atom.



DFT (PBE) results for a relaxed structure of YZr4Al.

Cell and atoms, written as CIF:
```
data_YZr4Al
_cell_length_a 8.333
_cell_length_b 8.333
_cell_length_c 8.333
_cell_angle_alpha 90.00
_cell_angle_beta 90.00
_cell_angle_gamma 90.00
_space_group_name_H-M_alt 'F -4 3 m'
_space_group_IT_number 216
_space_group_name_Hall 'F -4 2 3'
loop_
_atom_site_label
_atom_site_type_symbol
_atom_site_fract_x
_atom_site_fract_y
_atom_site_fract_z
Y1 Y 0.000 0.000 0.000
Zr1 Zr 0.127 0.127 0.627
Al1 Al 0.250 0.250 0.250
```

Output
The value obtained for the magnetization is 0.0 μB per cell. For the total DFT energy (no corrections), the calculation gives -7.1961 eV/atom. As for the density: 5.52 g/cm³. For the formation enthalpy at 0 K, the calculation gives 0.204 eV per atom.



DFT (PBE) results for a relaxed structure of YZr2Al.

Cell and atoms, written as CIF:
```
data_YZr2Al
_cell_length_a 3.2375
_cell_length_b 3.2375
_cell_length_c 31.1052
_cell_angle_alpha 90.00
_cell_angle_beta 90.00
_cell_angle_gamma 120.00
_space_group_name_H-M_alt 'R -3 m'
_space_group_IT_number 166
_space_group_name_Hall '-R 3 2"'
loop_
_atom_site_label
_atom_site_type_symbol
_atom_site_fract_x
_atom_site_fract_y
_atom_site_fract_z
Y1 Y 0.0000 0.0000 0.0000
Zr1 Zr 0.0000 0.0000 0.2434
Al1 Al 0.0000 0.0000 0.5000
```

Output
The value obtained for the magnetization is 0.0 μB per cell. For the total DFT energy (no corrections), the calculation gives -6.8137 eV/atom. As for the density: 5.26 g/cm³. For the formation enthalpy at 0 K, the calculation gives 0.012 eV per atom.



DFT (PBE) results for a relaxed structure of YZr3Al8.

Cell and atoms, written as CIF:
```
data_YZr3Al8
_cell_length_a 5.3788
_cell_length_b 5.3788
_cell_length_c 26.3997
_cell_angle_alpha 90.00
_cell_angle_beta 90.00
_cell_angle_gamma 120.00
_space_group_name_H-M_alt 'R 3 m'
_space_group_IT_number 160
_space_group_name_Hall 'R 3 -2"'
loop_
_atom_site_label
_atom_site_type_symbol
_atom_site_fract_x
_atom_site_fract_y
_atom_site_fract_z
Y1 Y 0.0000 0.0000 0.0000
Zr1 Zr 0.0000 0.0000 0.1260
Zr2 Zr 0.0000 0.0000 0.5004
Zr3 Zr 0.0000 0.0000 0.6228
Al1 Al 0.0000 0.0000 0.3120
Al2 Al 0.0000 0.0000 0.8126
Al3 Al 0.0007 0.5004 0.0640
Al4 Al 0.1675 0.3350 0.8943
```

Output
The value obtained for the magnetization is 0.0 μB per cell. For the total DFT energy (no corrections), the calculation gives -5.6931 eV/atom. As for the density: 4.36 g/cm³. For the formation enthalpy at 0 K, the calculation gives -0.522 eV per atom.